<i>
Below is LaMo2 at its PBEsol-relaxed geometry, with properties calculated at the SCAN level.

## Properties
As for the density of states at the Fermi level: 3.4 states/eV/f.u.

Cell: 3.597 3.597 5.296 Å, 90.00 90.00 90.00°
Fractional coordinates of all 3 atoms:
La 0.000 0.000 0.000
Mo 0.000 0.500 0.500
Mo 0.500 0.000 0.500

=====

<ii>
Below is LaMo2 at its PBEsol-relaxed geometry, with properties calculated at the SCAN level.

## Properties
As for the density of states at the Fermi level: 2.5 states/eV/f.u.

Cell: 3.425 4.804 7.872 Å, 90.00 102.57 90.00°
Fractional coordinates of all 6 atoms:
La 0.924 0.750 0.847
La 0.076 0.250 0.153
Mo 0.640 0.750 0.280
Mo 0.746 0.250 0.492
Mo 0.254 0.750 0.508
Mo 0.360 0.250 0.720

=====

Tell me which of them is the least stable. Sure, it is <i>.

=====

<i>
Below is LaMo3 at its PBEsol-relaxed geometry, with properties calculated at the SCAN level.

## Properties
As for the density of states at the Fermi level: 3.2 states/eV/f.u.

Cell: 2.851 2.851 9.533 Å, 90.00 90.00 111.66°
Fractional coordinates of all 4 atoms:
La 0.000 0.000 0.000
Mo 0.000 0.000 0.500
Mo 0.500 0.500 0.284
Mo 0.500 0.500 0.716

=====

<ii>
Below is LaMo3 at its PBEsol-relaxed geometry, with properties calculated at the SCAN level.

## Properties
As for the density of states at the Fermi level: 3.0 states/eV/f.u.

Cell: 2.968 5.322 5.322 Å, 116.63 100.71 100.71°
Fractional coordinates of all 4 atoms:
La 0.000 0.000 0.000
Mo 0.500 0.000 0.500
Mo 0.000 0.500 0.500
Mo 0.500 0.500 0.000

=====

<iii>
Below is LaMo3 at its PBEsol-relaxed geometry, with properties calculated at the SCAN level.

## Properties
As for the density of states at the Fermi level: 3.4 states/eV/f.u.

Cell: 3.219 4.688 4.693 Å, 90.00 90.00 90.00°
Fractional coordinates of all 4 atoms:
La 0.000 0.083 0.000
Mo 0.000 0.583 0.500
Mo 0.500 0.583 0.000
Mo 0.500 0.083 0.500

=====

Tell me which of them is the least stable. Sure, it is <iii>.

=====

<i>
Below is LaMoN2 at its PBEsol-relaxed geometry, with properties calculated at the SCAN level.

## Properties
As for the density of states at the Fermi level: 3.8 states/eV/f.u.

Cell: 4.953 4.953 6.302 Å, 113.14 113.14 90.00°
Fractional coordinates of all 8 atoms:
Mo 0.750 0.250 0.500
Mo 0.500 0.500 0.000
N 0.774 0.375 0.250
N 0.476 0.875 0.250
N 0.625 0.524 0.750
N 0.125 0.226 0.750
La 0.250 0.750 0.500
La 0.000 0.000 0.000

=====

<ii>
Below is LaMoN2 at its PBEsol-relaxed geometry, with properties calculated at the SCAN level.

## Properties
As for the density of states at the Fermi level: 3.5 states/eV/f.u.

Cell: 3.186 3.186 6.859 Å, 76.57 76.57 60.00°
Fractional coordinates of all 4 atoms:
Mo 0.500 0.500 0.500
N 0.884 0.884 0.349
N 0.116 0.116 0.651
La 0.000 0.000 0.000

=====

Tell me which of them is the least stable. Sure, it is <ii>.

=====

<i>
Below is LaMoOs2 at its PBEsol-relaxed geometry, with properties calculated at the SCAN level.

## Properties
As for the density of states at the Fermi level: 4.5 states/eV/f.u.

Cell: 2.852 2.852 9.825 Å, 81.65 81.65 60.00°
Fractional coordinates of all 4 atoms:
La 0.500 0.500 0.500
Mo 0.000 0.000 0.000
Os 0.261 0.261 0.217
Os 0.739 0.739 0.783

=====

<ii>
Below is LaMoOs2 at its PBEsol-relaxed geometry, with properties calculated at the SCAN level.

## Properties
As for the density of states at the Fermi level: 3.2 states/eV/f.u.

Cell: 4.458 4.725 4.458 Å, 61.85 90.00 118.15°
Fractional coordinates of all 4 atoms:
La 0.500 0.000 0.500
Mo 0.000 0.000 0.000
Os 0.250 0.500 0.250
Os 0.750 0.500 0.750

=====

Tell me which of them is the least stable. Sure, it is <ii>.

=====

<i>
Below is LaMo2Rh at its PBEsol-relaxed geometry, with properties calculated at the SCAN level.

## Properties
As for the density of states at the Fermi level: 3.5 states/eV/f.u.

Cell: 2.808 5.217 5.533 Å, 118.13 90.00 90.00°
Fractional coordinates of all 4 atoms:
La 0.500 0.500 0.000
Mo 0.000 0.000 0.500
Mo 0.000 0.500 0.500
Rh 0.500 0.000 0.000

=====

<ii>
Below is LaMo2Rh at its PBEsol-relaxed geometry, with properties calculated at the SCAN level.

## Properties
As for the density of states at the Fermi level: 2.7 states/eV/f.u.

Cell: 3.171 3.171 7.289 Å, 90.00 90.00 90.00°
Fractional coordinates of all 4 atoms:
La 0.500 0.500 0.749
Mo 0.000 0.000 0.056
Mo 0.500 0.500 0.240
Rh 0.000 0.000 0.454

=====

Tell me which of them is the least stable. Sure, it is <i>.

=====

<i>
Below is LaMoS2 at its PBEsol-relaxed geometry, with properties calculated at the SCAN level.

## Properties
As for the density of states at the Fermi level: 2.3 states/eV/f.u.

Cell: 4.646 4.646 4.646 Å, 60.00 60.00 60.00°
Fractional coordinates of all 4 atoms:
Mo 0.000 0.000 0.000
S 0.250 0.250 0.250
S 0.750 0.750 0.750
La 0.500 0.500 0.500

=====

<ii>
Below is LaMoS2 at its PBEsol-relaxed geometry, with properties calculated at the SCAN level.

## Properties
As for the density of states at the Fermi level: 1.3 states/eV/f.u.

Cell: 4.228 4.228 8.033 Å, 74.74 74.74 60.00°
Fractional coordinates of all 4 atoms:
Mo 0.000 0.000 0.000
S 0.896 0.896 0.311
S 0.104 0.104 0.689
La 0.500 0.500 0.500

=====

Tell me which of them is the least stable. Sure, it is <ii>.

=====

<i>
Below is LaScMo2 at its PBEsol-relaxed geometry, with properties calculated at the SCAN level.

## Properties
As for the density of states at the Fermi level: 4.9 states/eV/f.u.

Cell: 3.345 4.608 4.923 Å, 90.00 90.00 90.00°
Fractional coordinates of all 4 atoms:
La 0.000 0.500 0.500
Mo 0.000 0.000 0.000
Mo 0.500 0.000 0.500
Sc 0.500 0.500 0.000

=====

<ii>
Below is LaScMo2 at its PBEsol-relaxed geometry, with properties calculated at the SCAN level.

## Properties
As for the density of states at the Fermi level: 4.8 states/eV/f.u.

Cell: 3.389 4.740 4.740 Å, 90.00 90.00 90.00°
Fractional coordinates of all 4 atoms:
La 0.500 0.000 0.000
Mo 0.000 0.000 0.500
Mo 0.000 0.500 0.000
Sc 0.500 0.500 0.500

=====

Tell me which of them is the least stable. Sure, it is <ii>.

=====

<i>
Below is LaSc2Mo at its PBEsol-relaxed geometry, with properties calculated at the SCAN level.

## Properties
As for the density of states at the Fermi level: 5.0 states/eV/f.u.

Cell: 4.617 5.204 4.617 Å, 63.67 90.00 116.33°
Fractional coordinates of all 4 atoms:
La 0.500 0.000 0.500
Mo 0.000 0.000 0.000
Sc 0.250 0.500 0.250
Sc 0.750 0.500 0.750

=====

<ii>
Below is LaSc2Mo at its PBEsol-relaxed geometry, with properties calculated at the SCAN level.

## Properties
As for the density of states at the Fermi level: 5.3 states/eV/f.u.

Cell: 4.975 4.975 4.975 Å, 60.00 60.00 60.00°
Fractional coordinates of all 4 atoms:
La 0.500 0.500 0.500
Mo 0.750 0.750 0.750
Sc 0.000 0.000 0.000
Sc 0.250 0.250 0.250

=====

Tell me which of them is the least stable. Sure, it is <ii>.

=====

<i>
Below is SrLaMo2 at its PBEsol-relaxed geometry, with properties calculated at the SCAN level.

## Properties
As for the density of states at the Fermi level: 4.2 states/eV/f.u.

Cell: 3.295 3.295 9.643 Å, 80.16 80.16 60.00°
Fractional coordinates of all 4 atoms:
La 0.000 0.000 0.000
Mo 0.260 0.260 0.219
Mo 0.740 0.740 0.781
Sr 0.500 0.500 0.500

=====

<ii>
Below is SrLaMo2 at its PBEsol-relaxed geometry, with properties calculated at the SCAN level.

## Properties
As for the density of states at the Fermi level: 5.1 states/eV/f.u.

Cell: 3.389 5.144 5.762 Å, 116.51 107.10 90.00°
Fractional coordinates of all 4 atoms:
La 0.000 0.500 0.000
Mo 0.732 0.732 0.465
Mo 0.268 0.268 0.535
Sr 0.500 0.000 0.000

=====

<iii>
Below is SrLaMo2 at its PBEsol-relaxed geometry, with properties calculated at the SCAN level.

## Properties
As for the density of states at the Fermi level: 6.4 states/eV/f.u.

Cell: 4.961 4.961 4.961 Å, 60.00 60.00 60.00°
Fractional coordinates of all 4 atoms:
La 0.500 0.500 0.500
Mo 0.000 0.000 0.000
Mo 0.750 0.750 0.750
Sr 0.250 0.250 0.250

=====

Tell me which of them is the least stable. Sure, it is <i>.

=====

<i>
Below is La2TcMo at its PBEsol-relaxed geometry, with properties calculated at the SCAN level.

## Properties
As for the density of states at the Fermi level: 4.7 states/eV/f.u.

Cell: 4.073 4.073 5.783 Å, 110.62 110.62 90.00°
Fractional coordinates of all 4 atoms:
La 0.000 0.000 0.000
La 0.750 0.250 0.500
Mo 0.500 0.500 0.000
Tc 0.250 0.750 0.500

=====

<ii>
Below is La2TcMo at its PBEsol-relaxed geometry, with properties calculated at the SCAN level.

## Properties
As for the density of states at the Fermi level: 5.0 states/eV/f.u.

Cell: 3.142 3.142 9.127 Å, 90.00 90.00 115.18°
Fractional coordinates of all 4 atoms:
La 0.000 0.000 0.244
La 0.000 0.000 0.756
Mo 0.500 0.500 0.500
Tc 0.500 0.500 0.000

=====

Tell me which of them is the least stable. Sure, it is <i>.

=====

<i>
Below is LaZrMo2 at its PBEsol-relaxed geometry, with properties calculated at the SCAN level.

## Properties
As for the density of states at the Fermi level: 2.6 states/eV/f.u.

Cell: 3.663 3.663 6.665 Å, 90.00 90.00 90.00°
Fractional coordinates of all 4 atoms:
La 0.500 0.500 0.500
Mo 0.000 0.000 0.823
Mo 0.000 0.000 0.177
Zr 0.500 0.500 0.000

=====

<ii>
Below is LaZrMo2 at its PBEsol-relaxed geometry, with properties calculated at the SCAN level.

## Properties
As for the density of states at the Fermi level: 4.0 states/eV/f.u.

Cell: 3.090 4.231 6.490 Å, 90.00 102.89 90.00°
Fractional coordinates of all 4 atoms:
La 0.544 0.500 0.772
Mo 0.089 0.000 0.056
Mo 0.458 0.500 0.225
Zr 0.909 0.000 0.448

=====

Tell me which of them is the least stable. Sure, it is <ii>.

=====

<i>
Below is La2Nb2N2O5 at its PBEsol-relaxed geometry, with properties calculated at the SCAN level.

## Properties
As for the density of states at the Fermi level: 0.0 states/eV/f.u.

Cell: 3.966 5.791 13.758 Å, 90.59 98.29 90.00°
Fractional coordinates of all 22 atoms:
Nb 0.057 0.037 0.113
Nb 0.155 0.543 0.311
Nb 0.837 0.045 0.675
Nb 0.944 0.541 0.887
N 0.096 0.302 0.191
N 0.107 0.782 0.215
N 0.788 0.273 0.577
N 0.907 0.807 0.815
O 0.012 0.676 0.023
O 0.213 0.767 0.426
O 0.212 0.281 0.423
O 0.458 0.488 0.915
O 0.350 0.026 0.700
O 0.542 0.983 0.084
O 0.789 0.791 0.578
O 0.654 0.496 0.308
O 0.896 0.281 0.792
O 0.990 0.178 0.979
La 0.283 0.528 0.566
La 0.443 0.055 0.886
La 0.555 0.553 0.110
La 0.713 0.046 0.427

=====

<ii>
Below is La2Nb2N2O5 at its PBEsol-relaxed geometry, with properties calculated at the SCAN level.

## Properties
As for the density of states at the Fermi level: 0.0 states/eV/f.u.

Cell: 7.520 7.538 7.538 Å, 90.19 119.80 119.80°
Fractional coordinates of all 22 atoms:
La 0.746 0.121 0.374
La 0.252 0.632 0.373
La 0.748 0.627 0.368
La 0.254 0.626 0.879
Nb 0.229 0.102 0.864
Nb 0.735 0.621 0.864
Nb 0.265 0.136 0.379
Nb 0.771 0.136 0.898
N 0.003 0.807 0.810
N 0.500 0.443 0.557
N 0.500 0.752 0.248
N 0.997 0.190 0.193
O 0.401 0.199 0.196
O 0.000 0.201 0.799
O 0.000 0.795 0.205
O 0.599 0.804 0.801
O 0.000 0.498 0.502
O 0.500 0.456 0.953
O 0.107 0.051 0.553
O 0.500 0.058 0.942
O 0.893 0.447 0.949
O 0.500 0.047 0.544

=====

Tell me which of them is the least stable. Sure, it is <ii>.